P) Crystalline Pt2SeO at its relaxed geometry, computed with GGA-PBE.

Its total magnetization is 0.0 μB/f.u. Its crystal system is tetragonal.

Cell and atoms, written as POSCAR:
```
Pt2SeO
1.0
-3.054 3.054 3.448
3.054 -3.054 3.448
3.054 3.054 -3.448
Pt Se O
4 2 2
direct
0.093 0.625 0.968
0.375 0.343 0.468
0.657 0.125 0.032
0.875 0.907 0.532
0.250 0.750 0.500
0.500 0.500 0.000
0.000 0.000 0.000
0.750 0.250 0.500
```

Q) Crystalline Pt2SeO at its relaxed geometry, computed with GGA-PBE.

Its total magnetization is 0.0 μB/f.u. Its crystal system is cubic.

Cell and atoms, written as POSCAR:
```
Pt2SeO
1.0
0.000 3.048 3.048
3.048 0.000 3.048
3.048 3.048 0.000
Pt Se O
2 1 1
direct
0.250 0.250 0.250
0.750 0.750 0.750
0.000 0.000 0.000
0.500 0.500 0.500
```

Unit: kJ/mol of atoms. Relative energies: P) 0.0; Q) 16.4.